VASP calculation (PBE-GGA) on a relaxed LiCaFe2 crystal.

Summary:
Total moment ... 5.001 μB/f.u.
ΔH_f (0 K) ... 318.7 meV per atom
Symmetry ... No. 99
V ... 18.8 A^3/atom

abc: 3.198 3.191 7.388
angles: 90.00 90.00 90.00
Each line ends with the local moment (μB).
Fractional coordinates of all 4 atoms:
Ca 0.500 0.500 0.794  -0.08
Fe 0.000 0.000 0.075  2.54
Fe 0.500 0.500 0.203  2.73
Li 0.000 0.000 0.428  -0.02


VASP calculation (PBE-GGA) on a relaxed LiCa3Fe crystal.

Summary:
Total moment ... 1.421 μB/f.u.
ΔH_f (0 K) ... 348.0 meV per atom
Relative energy among the computed polymorphs ... 0.0 kJ/mol of atoms
Symmetry ... No. 221
V ... 33.9 A^3/atom

abc: 5.533 5.533 5.533
angles: 90.00 90.00 90.00
Each line ends with the local moment (μB).
Fractional coordinates of all 5 atoms:
Ca 0.000 0.500 0.000  -0.07
Ca 0.000 0.000 0.500  -0.09
Ca 0.500 0.000 0.000  -0.04
Fe 0.000 0.000 0.000  2.08
Li 0.500 0.500 0.500  0.00


VASP calculation (PBE-GGA) on a relaxed LiCaFe2 crystal.

Summary:
Total moment ... 4.497 μB/f.u.
ΔH_f (0 K) ... 523.6 meV per atom
Symmetry ... No. 12
V ... 16.1 A^3/atom

abc: 5.455 5.455 4.353
angles: 66.35 66.35 33.21
Each line ends with the local moment (μB).
Fractional coordinates of all 4 atoms:
Ca 0.250 0.250 0.250  -0.16
Fe 0.016 0.016 0.985  2.55
Fe 0.484 0.484 0.515  2.55
Li 0.750 0.750 0.750  -0.08